# BaCa2InP (PBE, relaxed)
# calculated total energy: -3.388 eV/atom
# formation energy from the elements: -55 kJ per mole of atoms
# calculated density: 3.19 Mg/m³
# calculated volume: 37.8 Å³/atom
data_BaCa2InP
_chemical_formula_sum 'Ba1 Ca2 In1 P1'
_cell_length_a 5.4844
_cell_length_b 5.4844
_cell_length_c 6.2818
_cell_angle_alpha 90.00
_cell_angle_beta 90.00
_cell_angle_gamma 90.00
_space_group_name_H-M_alt 'P 1'
_space_group_IT_number 1
_space_group_name_Hall 'P 1'
loop_
_atom_site_label
_atom_site_type_symbol
_atom_site_fract_x
_atom_site_fract_y
_atom_site_fract_z
_atom_site_occupancy
P1 P 0.0000 0.0000 0.0000 1
Ba1 Ba 0.0000 0.0000 0.5000 1
In1 In 0.5000 0.5000 0.5000 1
Ca1 Ca 0.0000 0.5000 0.0000 1
Ca2 Ca 0.5000 0.0000 0.0000 1